# 1
Hf12Al6Rh: relaxed, PBE.

Properties
- Uncorrected energy: -8.10 eV per atom
- DFT formation energy: -0.25 eV/atom
- Magnetization: 0.0 Bohr magnetons per cell

Lattice parameters (Å, degrees): 7.2066 7.2066 7.2066 88.85 88.85 88.85
Closest atoms and distances in Å follow each position.
Sites, in units of the cell vectors:
Hf 0.5184 0.4316 0.8081  5 Hf 2.96-3.15, 4 Al 2.97-3.05
Hf 0.3781 0.0440 0.1492  5 Hf 2.82-3.15, 5 Al 2.94-3.10, 1 Rh 2.97
Hf 0.5684 0.1919 0.4816  5 Hf 2.96-3.15, 4 Al 2.97-3.05
Hf 0.8081 0.5184 0.4316  5 Hf 2.96-3.15, 4 Al 2.97-3.05
Hf 0.1919 0.4816 0.5684  5 Hf 2.96-3.15, 4 Al 2.97-3.05
Hf 0.4816 0.5684 0.1919  5 Hf 2.96-3.15, 4 Al 2.97-3.05
Hf 0.8508 0.6219 0.9560  5 Hf 2.82-3.15, 5 Al 2.94-3.10, 1 Rh 2.97
Hf 0.0440 0.1492 0.3781  5 Hf 2.82-3.15, 5 Al 2.94-3.10, 1 Rh 2.97
Hf 0.1492 0.3781 0.0440  5 Hf 2.82-3.15, 5 Al 2.94-3.10, 1 Rh 2.97
Hf 0.6219 0.9560 0.8508  5 Hf 2.82-3.15, 5 Al 2.94-3.10, 1 Rh 2.97
Hf 0.4316 0.8081 0.5184  5 Hf 2.96-3.15, 4 Al 2.97-3.05
Hf 0.9560 0.8508 0.6219  5 Hf 2.82-3.15, 5 Al 2.94-3.10, 1 Rh 2.97
Al 0.7431 0.8881 0.2530  1 Rh 2.70, 2 Al 2.83, 5 Hf 2.94-3.01
Al 0.8881 0.2530 0.7431  1 Rh 2.70, 2 Al 2.83, 5 Hf 2.94-3.01
Al 0.2569 0.1119 0.7470  1 Rh 2.70, 2 Al 2.83, 5 Hf 2.94-3.01
Al 0.1119 0.7470 0.2569  1 Rh 2.70, 2 Al 2.83, 5 Hf 2.94-3.01
Al 0.7470 0.2569 0.1119  1 Rh 2.70, 2 Al 2.83, 5 Hf 2.94-3.01
Al 0.2530 0.7431 0.8881  1 Rh 2.70, 2 Al 2.83, 5 Hf 2.94-3.01
Rh 0.0000 0.0000 0.0000  6 Al 2.70, 6 Hf 2.97

---

# 2
Hf6AlRh: relaxed, PBE.

Properties
- Uncorrected energy: -8.71 eV per atom
- DFT formation energy: 0.14 eV/atom
- Magnetization: 0.0 Bohr magnetons per cell

Lattice parameters (Å, degrees): 6.1437 6.1437 6.1691 103.99 103.99 121.00
Closest atoms and distances in Å follow each position.
Sites, in units of the cell vectors:
Al 0.0000 0.0000 0.0000  6 Hf 2.73-2.74
Hf 0.4694 0.0486 0.2501  1 Rh 2.71, 1 Al 2.74, 1 Hf 3.03
Hf 0.5306 0.9514 0.7499  1 Rh 2.71, 1 Al 2.74, 1 Hf 3.03
Hf 0.0486 0.4694 0.2501  1 Rh 2.71, 1 Al 2.74, 1 Hf 3.03
Hf 0.7442 0.7442 0.2610  1 Rh 2.55, 1 Al 2.73
Hf 0.2558 0.2558 0.7390  1 Rh 2.55, 1 Al 2.73
Hf 0.9514 0.5306 0.7499  1 Rh 2.71, 1 Al 2.74, 1 Hf 3.03
Rh 0.5000 0.5000 0.5000  6 Hf 2.55-2.71

---

# 3
Hf2AlRh2: relaxed, PBE.

Properties
- Uncorrected energy: -8.43 eV per atom
- DFT formation energy: -0.76 eV/atom
- Magnetization: 0.0 Bohr magnetons per cell

Lattice parameters (Å, degrees): 7.3529 7.3529 3.2993 90.00 90.00 90.00
Closest atoms and distances in Å follow each position.
Sites, in units of the cell vectors:
Al 0.5000 0.5000 0.0000  4 Rh 2.86, 8 Hf 3.20
Al 0.0000 0.0000 0.0000  4 Rh 2.86, 8 Hf 3.20
Hf 0.8321 0.3321 0.5000  6 Rh 2.63-2.78
Hf 0.1679 0.6679 0.5000  6 Rh 2.63-2.78
Hf 0.3321 0.1679 0.5000  6 Rh 2.63-2.78
Hf 0.6679 0.8321 0.5000  6 Rh 2.63-2.78
Rh 0.3651 0.8651 0.0000  6 Hf 2.63-2.78, 1 Rh 2.81, 2 Al 2.86
Rh 0.1349 0.3651 0.0000  6 Hf 2.63-2.78, 1 Rh 2.81, 2 Al 2.86
Rh 0.8651 0.6349 0.0000  6 Hf 2.63-2.78, 1 Rh 2.81, 2 Al 2.86
Rh 0.6349 0.1349 0.0000  6 Hf 2.63-2.78, 1 Rh 2.81, 2 Al 2.86

---

# 4
Hf6Al2Rh: relaxed, PBE.

Properties
- Uncorrected energy: -8.50 eV per atom
- DFT formation energy: -0.22 eV/atom
- Magnetization: 0.0 Bohr magnetons per cell

Lattice parameters (Å, degrees): 5.2505 8.0145 8.7230 90.00 85.10 90.00
Closest atoms and distances in Å follow each position.
Sites, in units of the cell vectors:
Al 0.5854 0.8764 0.7435  9 Hf 2.78-3.02, 1 Rh 3.07
Al 0.0854 0.6236 0.2435  9 Hf 2.78-3.02, 1 Rh 3.07
Al 0.9146 0.3764 0.7565  9 Hf 2.78-3.02, 1 Rh 3.07
Al 0.4146 0.1236 0.2565  9 Hf 2.78-3.02, 1 Rh 3.07
Hf 0.5825 0.1718 0.9365  1 Rh 2.71, 3 Al 2.78-2.91, 1 Hf 3.02
Hf 0.4175 0.8282 0.0635  1 Rh 2.71, 3 Al 2.78-2.91, 1 Hf 3.02
Hf 0.0886 0.0308 0.8048  1 Rh 2.75, 3 Al 2.89-3.01, 1 Hf 3.02
Hf 0.4114 0.5308 0.6952  1 Rh 2.75, 3 Al 2.89-3.01, 1 Hf 3.02
Hf 0.9297 0.6767 0.9337  1 Rh 2.69, 2 Al 2.87-2.92
Hf 0.5703 0.1767 0.5663  1 Rh 2.69, 2 Al 2.87-2.92
Hf 0.5886 0.4692 0.3048  1 Rh 2.75, 3 Al 2.89-3.01, 1 Hf 3.02
Hf 0.9175 0.6718 0.5635  1 Rh 2.71, 3 Al 2.78-2.91, 1 Hf 3.02
Hf 0.0703 0.3233 0.0663  1 Rh 2.69, 2 Al 2.87-2.92
Hf 0.4297 0.8233 0.4337  1 Rh 2.69, 2 Al 2.87-2.92
Hf 0.9114 0.9692 0.1952  1 Rh 2.75, 3 Al 2.89-3.01, 1 Hf 3.02
Hf 0.0825 0.3282 0.4365  1 Rh 2.71, 3 Al 2.78-2.91, 1 Hf 3.02
Rh 0.5000 0.5000 0.0000  6 Hf 2.69-2.75
Rh 0.0000 0.0000 0.5000  6 Hf 2.69-2.75

---

# 5
HfAlSb2Rh: relaxed, PBE.

Properties
- Uncorrected energy: -4.90 eV per atom
- Magnetization: 1.0 Bohr magnetons per cell
- Formation energy from raw total energies: 0.96 eV per atom

Lattice parameters (Å, degrees): 5.3844 5.1604 5.3844 90.00 90.00 90.00
Closest atoms and distances in Å follow each position.
Sites, in units of the cell vectors:
Hf 0.0000 0.0000 0.0000  2 Al 2.58, 4 Sb 2.69
Rh 0.5000 0.5000 0.5000  8 Sb 3.73, 4 Al 3.81
Sb 0.0000 0.0000 0.5000  2 Hf 2.69
Sb 0.5000 0.0000 0.0000  2 Hf 2.69
Al 0.0000 0.5000 0.0000  2 Hf 2.58

---

# 6
SrHfAl2Rh: relaxed, PBE.

Properties
- Uncorrected energy: -3.72 eV per atom
- DFT formation energy: 1.57 eV/atom
- Magnetization: 0.0 Bohr magnetons per cell

Lattice parameters (Å, degrees): 5.2398 4.7532 5.2398 90.00 90.00 90.00
Closest atoms and distances in Å follow each position.
Sites, in units of the cell vectors:
Al 0.5000 0.0000 0.0000  2 Sr 2.62
Al 0.0000 0.0000 0.5000  2 Sr 2.62
Hf 0.5000 0.5000 0.5000  8 Al 3.54, 4 Rh 3.71
Sr 0.0000 0.0000 0.0000  2 Rh 2.38, 4 Al 2.62
Rh 0.0000 0.5000 0.0000  2 Sr 2.38

---

# 7
HfAlTcRh: relaxed, PBE.

Properties
- Uncorrected energy: -8.57 eV per atom
- DFT formation energy: -0.72 eV/atom
- Magnetization: 0.0 Bohr magnetons per cell
- Energy above the lowest structure with this stoichiometry: 30 meV/atom

Lattice parameters (Å, degrees): 4.4570 4.4570 4.4570 60.00 60.00 60.00
Closest atoms and distances in Å follow each position.
Sites, in units of the cell vectors:
Hf 0.7500 0.7500 0.7500  4 Tc 2.73, 4 Rh 2.73
Al 0.2500 0.2500 0.2500  4 Tc 2.73, 4 Rh 2.73
Tc 0.5000 0.5000 0.5000  4 Hf 2.73, 4 Al 2.73
Rh 0.0000 0.0000 0.0000  4 Al 2.73, 4 Hf 2.73

---

# 8
HfAlTcRh: relaxed, PBE.

Properties
- Uncorrected energy: -8.60 eV per atom
- DFT formation energy: -0.75 eV/atom
- Magnetization: 0.0 Bohr magnetons per cell
- Energy above the lowest structure with this stoichiometry: 0 meV/atom

Lattice parameters (Å, degrees): 3.2488 4.3711 4.4097 90.00 90.00 90.00
Closest atoms and distances in Å follow each position.
Sites, in units of the cell vectors:
Rh 0.0000 0.5000 0.5000  4 Al 2.72, 4 Hf 2.74
Al 0.5000 0.0000 0.5000  4 Rh 2.72, 4 Tc 2.74
Hf 0.5000 0.5000 0.0000  4 Tc 2.72, 4 Rh 2.74
Tc 0.0000 0.0000 0.0000  4 Hf 2.72, 4 Al 2.74

---

# 9
Hf3Al3TcRh2: relaxed, PBE.

Properties
- Uncorrected energy: -7.94 eV per atom
- DFT formation energy: -0.59 eV/atom
- Magnetization: 0.0 Bohr magnetons per cell

Lattice parameters (Å, degrees): 3.1676 7.5446 7.5446 120.00 90.00 90.00
Closest atoms and distances in Å follow each position.
Sites, in units of the cell vectors:
Al 0.0000 0.6253 0.6253  1 Tc 2.83, 4 Rh 2.85, 6 Hf 3.01
Al 0.0000 0.0000 0.3747  1 Tc 2.83, 4 Rh 2.85, 6 Hf 3.01
Al 0.0000 0.3747 0.0000  1 Tc 2.83, 4 Rh 2.85, 6 Hf 3.01
Hf 0.5000 0.2855 0.2855  2 Tc 2.67, 2 Rh 2.71
Hf 0.5000 0.0000 0.7145  2 Tc 2.67, 2 Rh 2.71
Hf 0.5000 0.7145 0.0000  2 Tc 2.67, 2 Rh 2.71
Tc 0.0000 0.0000 0.0000  6 Hf 2.67, 3 Al 2.83
Rh 0.5000 0.6667 0.3333  3 Hf 2.71, 6 Al 2.85
Rh 0.5000 0.3333 0.6667  3 Hf 2.71, 6 Al 2.85

---

# 10
Hf2TiAl2Rh5: relaxed, PBE.

Properties
- Uncorrected energy: -8.03 eV per atom
- DFT formation energy: -0.82 eV/atom
- Magnetization: 0.0 Bohr magnetons per cell

Lattice parameters (Å, degrees): 3.5480 9.4481 9.4481 90.00 90.00 90.00
Closest atoms and distances in Å follow each position.
Sites, in units of the cell vectors:
Hf 0.0000 0.6738 0.1738  3 Al 2.70-2.85, 6 Rh 2.92-3.01
Hf 0.0000 0.1738 0.3262  3 Al 2.70-2.85, 6 Rh 2.92-3.01
Hf 0.0000 0.3262 0.8262  3 Al 2.70-2.85, 6 Rh 2.92-3.01
Hf 0.0000 0.8262 0.6738  3 Al 2.70-2.85, 6 Rh 2.92-3.01
Ti 0.0000 0.5000 0.5000  8 Rh 2.70
Ti 0.0000 0.0000 0.0000  8 Rh 2.70
Al 0.0000 0.6241 0.8759  6 Rh 2.43-2.46, 1 Hf 2.70
Al 0.0000 0.8759 0.3759  6 Rh 2.43-2.46, 1 Hf 2.70
Al 0.0000 0.3759 0.1241  6 Rh 2.43-2.46, 1 Hf 2.70
Al 0.0000 0.1241 0.6241  6 Rh 2.43-2.46, 1 Hf 2.70
Rh 0.5000 0.0703 0.7967  2 Al 2.46, 2 Ti 2.70
Rh 0.5000 0.5000 0.0000  4 Al 2.43
Rh 0.5000 0.9297 0.2033  2 Al 2.46, 2 Ti 2.70
Rh 0.5000 0.5703 0.7033  2 Al 2.46, 2 Ti 2.70
Rh 0.5000 0.7967 0.9297  2 Al 2.46, 2 Ti 2.70
Rh 0.5000 0.2033 0.0703  2 Al 2.46, 2 Ti 2.70
Rh 0.5000 0.0000 0.5000  4 Al 2.43
Rh 0.5000 0.2967 0.5703  2 Al 2.46, 2 Ti 2.70
Rh 0.5000 0.7033 0.4297  2 Al 2.46, 2 Ti 2.70
Rh 0.5000 0.4297 0.2967  2 Al 2.46, 2 Ti 2.70

---

# 11
TmHfAlRh: relaxed, PBE.

Properties
- Uncorrected energy: -6.88 eV per atom
- DFT formation energy: -0.50 eV/atom
- Magnetization: 0.0 Bohr magnetons per cell

Lattice parameters (Å, degrees): 4.8045 4.8045 4.8045 60.00 60.00 60.00
Closest atoms and distances in Å follow each position.
Sites, in units of the cell vectors:
Rh 0.0000 0.0000 0.0000  4 Hf 2.94, 4 Tm 2.94
Al 0.5000 0.5000 0.5000  4 Tm 2.94, 4 Hf 2.94
Tm 0.2500 0.2500 0.2500  4 Rh 2.94, 4 Al 2.94
Hf 0.7500 0.7500 0.7500  4 Rh 2.94, 4 Al 2.94

---

# 12
HfAl3Ru: relaxed, PBE.

Properties
- Uncorrected energy: -5.97 eV per atom
- DFT formation energy: 0.12 eV/atom
- Magnetization: 0.0 Bohr magnetons per cell
- Energy above the lowest structure with this stoichiometry: 654 meV/atom

Lattice parameters (Å, degrees): 4.5906 4.5906 4.5906 90.00 90.00 90.00
Closest atoms and distances in Å follow each position.
Sites, in units of the cell vectors:
Al 0.0000 0.5000 0.0000  2 Ru 2.30
Al 0.0000 0.0000 0.5000  2 Ru 2.30
Al 0.5000 0.0000 0.0000  2 Ru 2.30
Hf 0.5000 0.5000 0.5000  12 Al 3.25
Ru 0.0000 0.0000 0.0000  6 Al 2.30

---

Repeat the tenth record exactly.
Hf2TiAl2Rh5: relaxed, PBE.

Properties
- Uncorrected energy: -8.03 eV per atom
- DFT formation energy: -0.82 eV/atom
- Magnetization: 0.0 Bohr magnetons per cell

Lattice parameters (Å, degrees): 3.5480 9.4481 9.4481 90.00 90.00 90.00
Closest atoms and distances in Å follow each position.
Sites, in units of the cell vectors:
Hf 0.0000 0.6738 0.1738  3 Al 2.70-2.85, 6 Rh 2.92-3.01
Hf 0.0000 0.1738 0.3262  3 Al 2.70-2.85, 6 Rh 2.92-3.01
Hf 0.0000 0.3262 0.8262  3 Al 2.70-2.85, 6 Rh 2.92-3.01
Hf 0.0000 0.8262 0.6738  3 Al 2.70-2.85, 6 Rh 2.92-3.01
Ti 0.0000 0.5000 0.5000  8 Rh 2.70
Ti 0.0000 0.0000 0.0000  8 Rh 2.70
Al 0.0000 0.6241 0.8759  6 Rh 2.43-2.46, 1 Hf 2.70
Al 0.0000 0.8759 0.3759  6 Rh 2.43-2.46, 1 Hf 2.70
Al 0.0000 0.3759 0.1241  6 Rh 2.43-2.46, 1 Hf 2.70
Al 0.0000 0.1241 0.6241  6 Rh 2.43-2.46, 1 Hf 2.70
Rh 0.5000 0.0703 0.7967  2 Al 2.46, 2 Ti 2.70
Rh 0.5000 0.5000 0.0000  4 Al 2.43
Rh 0.5000 0.9297 0.2033  2 Al 2.46, 2 Ti 2.70
Rh 0.5000 0.5703 0.7033  2 Al 2.46, 2 Ti 2.70
Rh 0.5000 0.7967 0.9297  2 Al 2.46, 2 Ti 2.70
Rh 0.5000 0.2033 0.0703  2 Al 2.46, 2 Ti 2.70
Rh 0.5000 0.0000 0.5000  4 Al 2.43
Rh 0.5000 0.2967 0.5703  2 Al 2.46, 2 Ti 2.70
Rh 0.5000 0.7033 0.4297  2 Al 2.46, 2 Ti 2.70
Rh 0.5000 0.4297 0.2967  2 Al 2.46, 2 Ti 2.70